Computed, not measured: a relaxed Sr2La2MgRu3O12 crystal at the PBEsol level of DFT.

Unit cell a=5.535 b=5.562 c=7.834 alpha=89.73 beta=89.99 gamma=89.97
Fractional coordinates of all 20 atoms:
1 Sr 0.000 0.000 0.000
2 Sr 0.496 0.434 0.489
3 La 0.488 0.503 0.001
4 La 0.981 0.923 0.487
5 Mg 0.993 0.462 0.245
6 Ru 0.492 0.967 0.745
7 Ru 0.493 0.967 0.244
8 Ru 0.991 0.466 0.745
9 O 0.052 0.483 0.500
10 O 0.208 0.748 0.784
11 O 0.219 0.750 0.214
12 O 0.285 0.260 0.785
13 O 0.288 0.250 0.207
14 O 0.415 0.973 0.493
15 O 0.559 0.950 0.996
16 O 0.707 0.682 0.707
17 O 0.709 0.691 0.278
18 O 0.776 0.172 0.282
19 O 0.786 0.174 0.704
20 O 0.916 0.456 0.990

Properties
The space-group type is No. 1. The energy relative to the elements, uncorrected is -2.24 eV per atom. As for the volume: 12.06 A^3/atom. As for the crystal system: triclinic. For the raw total energy, the calculation gives -7.720 eV/atom. The spin magnetization is 6.00 μB per formula unit.

Computed, not measured: a relaxed Sr2La4Mg2RuO12 crystal at the PBEsol level of DFT.

Unit cell a=18.998 b=18.998 c=18.998 alpha=168.37 beta=168.37 gamma=16.47
Fractional coordinates of all 21 atoms:
1 Sr 0.048 0.048 0.000
2 Sr 0.952 0.952 0.000
3 La 0.288 0.288 0.000
4 La 0.379 0.379 0.000
5 La 0.621 0.621 0.000
6 La 0.712 0.712 0.000
7 Mg 0.167 0.167 0.000
8 Mg 0.833 0.833 0.000
9 Ru 0.500 0.500 0.000
10 O 0.000 0.500 0.500
11 O 0.110 0.110 0.000
12 O 0.167 0.667 0.500
13 O 0.226 0.226 0.000
14 O 0.333 0.833 0.500
15 O 0.445 0.445 0.000
16 O 0.500 0.000 0.500
17 O 0.555 0.555 0.000
18 O 0.667 0.167 0.500
19 O 0.774 0.774 0.000
20 O 0.833 0.333 0.500
21 O 0.890 0.890 0.000

Properties
The space-group type is No. 139. The energy relative to the elements, uncorrected is -2.83 eV per atom. As for the volume: 13.26 A^3/atom. As for the crystal system: tetragonal. For the raw total energy, the calculation gives -7.674 eV/atom. The spin magnetization is 0.02 μB per formula unit.